Entry from Alexandria via LeMat-Bulk: a relaxed BiSb2RhI crystal (GGA-PBE).

## Properties
E_tot ... -3.9123 eV per atom
Crystal system ... tetragonal
D(E_F) ... 1.220 states/eV/atom

Geometry as POSCAR:
```
BiSb2RhI
1.0
5.1745 0.0000 0.0000
0.0000 5.1745 0.0000
0.0000 0.0000 5.4797
Bi Sb Rh I
1 2 1 1
Cartesian
0.0000 0.0000 0.0000 Bi
0.0000 2.5872 2.7399 Sb
2.5872 0.0000 2.7399 Sb
2.5872 2.5872 2.7399 Rh
2.5872 2.5872 0.0000 I
```